1.
Compound: MnSb2TeMo
Source: the Alexandria database
Functional: SCAN
Structure: single point on PBEsol structure

a b c (Å): 4.8486 4.8486 5.2287
angles (deg): 90.00 90.00 90.00
Last column: nearest neighbours and their distance in Å.
Space group P4/mmm (No. 123)
One atom of each set of equivalent atoms:
Mn 0.0000 0.0000 0.0000 x1  4 Sb 2.42, 2 Te 2.61
Sb 0.0000 0.5000 0.0000 x2  2 Mn 2.42
Te 0.0000 0.0000 0.5000 x1  2 Mn 2.61
Mo 0.5000 0.5000 0.5000 x1  4 Te 3.43, 8 Sb 3.57

* uncorrected formation energy: 867.3 meV/atom
* density: 7.05 g/cm³

---

2.
Compound: KSc2Rh
Source: the Alexandria database
Functional: SCAN
Structure: single point on PBEsol structure

a b c (Å): 3.2596 3.2596 9.8386
angles (deg): 90.00 90.00 90.00
Last column: nearest neighbours and their distance in Å.
Space group P4/mmm (No. 123)
One atom of each set of equivalent atoms:
K 0.0000 0.0000 0.0000 x1  4 K 3.26
Sc 0.5000 0.5000 0.3486 x2  4 Rh 2.74, 1 Sc 2.98
Rh 0.0000 0.0000 0.5000 x1  8 Sc 2.74

* density: 3.68 g/cm³
* distance to the lowest polymorph of the same formula: 0.000 eV per atom
* ΔE_f: -0.3179 eV/atom

---

3.
Compound: CaGa3Ag
Source: the Alexandria database
Functional: SCAN
Structure: single point on PBEsol structure

a b c (Å): 5.3407 5.3407 5.3407
angles (deg): 90.00 90.00 90.00
Last column: nearest neighbours and their distance in Å.
Space group Pm-3m (No. 221)
One atom of each set of equivalent atoms:
Ca 0.0000 0.0000 0.0000 x1  6 Ga 2.67
Ga 0.0000 0.0000 0.5000 x3  2 Ca 2.67
Ag 0.5000 0.5000 0.5000 x1  12 Ga 3.78

* density: 3.89 g/cm³
* ΔE_f: 1.0385 eV/atom

---

4.
Compound: ReSbTe
Source: the Alexandria database
Functional: SCAN
Structure: single point on PBEsol structure

a b c (Å): 6.5887 6.5887 6.5887
angles (deg): 90.00 90.00 90.00
Last column: nearest neighbours and their distance in Å.
Space group F-43m (No. 216)
One atom of each set of equivalent atoms:
Re 0.0000 0.0000 0.0000 x4  4 Te 2.85
Sb 0.0000 0.0000 0.5000 x4  4 Te 2.85
Te 0.2500 0.2500 0.7500 x4  4 Re 2.85, 4 Sb 2.85

* uncorrected formation energy: 1489.9 meV/atom
* density: 10.11 g/cm³
* distance to the lowest polymorph of the same formula: 0.739 eV per atom